VASP calculation (PBE) on crystalline Na2HgF4 at its relaxed geometry.

Calculated values
* raw total energy: -51.303 eV for the cell shown
* volume: 14.5 Å³/atom
* formation energy without anion corrections: -15.23 eV per formula unit
* ΔE to the lowest computed polymorph: 0 meV/atom

Unit cell a=6.4192 b=6.4192 c=6.4192 alpha=111.41 beta=111.41 gamma=105.66
Last column: nearest neighbours and their distance in Å.
Positions (direct):
Na: 0.0000 0.0000 0.0000  6 F 2.31-2.33
Na: 0.0000 0.0000 0.5000  6 F 2.31-2.33
Na: 0.0000 0.5000 0.0000  6 F 2.31-2.33
Na: 0.5000 0.0000 0.5000  6 F 2.31-2.33
Hg: 0.3750 0.6250 0.7500  4 F 2.27
Hg: 0.6250 0.3750 0.2500  4 F 2.27
F: 0.1546 0.7063 0.4482  1 Hg 2.27, 3 Na 2.31-2.33
F: 0.2419 0.2937 0.9482  1 Hg 2.27, 3 Na 2.31-2.33
F: 0.2937 0.2419 0.4482  1 Hg 2.27, 3 Na 2.31-2.33
F: 0.2937 0.8454 0.0518  1 Hg 2.27, 3 Na 2.31-2.33
F: 0.7063 0.1546 0.9482  1 Hg 2.27, 3 Na 2.31-2.33
F: 0.7063 0.7581 0.5518  1 Hg 2.27, 3 Na 2.31-2.33
F: 0.7581 0.7063 0.0518  1 Hg 2.27, 3 Na 2.31-2.33
F: 0.8454 0.2937 0.5518  1 Hg 2.27, 3 Na 2.31-2.33

VASP calculation (PBE) on crystalline Na2Hg3F8 at its relaxed geometry.

Calculated values
* raw total energy: -42.048 eV for the cell shown
* volume: 17.8 Å³/atom
* formation energy without anion corrections: -23.53 eV per formula unit

Unit cell a=6.5370 b=6.5370 c=6.1527 alpha=101.13 beta=101.13 gamma=64.76
Last column: nearest neighbours and their distance in Å.
Positions (direct):
Na: 0.2014 0.2014 0.0757  5 F 2.27-2.41
Na: 0.7986 0.7986 0.9243  5 F 2.27-2.41
Hg: 0.2444 0.7556 0.5000  6 F 2.30-2.39
Hg: 0.5000 0.5000 0.0000  6 F 2.33-2.39
Hg: 0.7556 0.2444 0.5000  6 F 2.30-2.39
F: 0.0903 0.0903 0.3429  1 Na 2.27, 2 Hg 2.30
F: 0.1553 0.5929 0.1301  2 Hg 2.33-2.39, 2 Na 2.39-2.41
F: 0.3911 0.3911 0.6161  3 Hg 2.36-2.39
F: 0.4071 0.8447 0.8699  2 Hg 2.33-2.39, 2 Na 2.39-2.41
F: 0.5929 0.1553 0.1301  2 Hg 2.33-2.39, 2 Na 2.39-2.41
F: 0.6089 0.6089 0.3839  3 Hg 2.36-2.39
F: 0.8447 0.4071 0.8699  2 Hg 2.33-2.39, 2 Na 2.39-2.41
F: 0.9097 0.9097 0.6571  1 Na 2.27, 2 Hg 2.30

VASP calculation (PBE) on crystalline Na3Hg2F8 at its relaxed geometry.

Calculated values
* raw total energy: -44.741 eV for the cell shown
* volume: 15.3 Å³/atom
* formation energy without anion corrections: -25.21 eV per formula unit
* ΔE to the lowest computed polymorph: 0 meV/atom

Unit cell a=6.1489 b=6.1489 c=5.5623 alpha=93.89 beta=93.89 gamma=71.77
Last column: nearest neighbours and their distance in Å.
Positions (direct):
Na: 0.0000 0.0000 0.0000  6 F 2.25-2.28
Na: 0.2441 0.7559 0.5000  6 F 2.32-2.48
Na: 0.7559 0.2441 0.5000  6 F 2.32-2.48
Hg: 0.3065 0.3065 0.9389  4 F 2.18-2.25
Hg: 0.6935 0.6935 0.0611  4 F 2.18-2.25
F: 0.0550 0.6405 0.8274  1 Hg 2.25, 2 Na 2.28-2.48
F: 0.1254 0.1254 0.6824  1 Hg 2.20, 3 Na 2.25-2.34
F: 0.3595 0.9450 0.1726  1 Hg 2.25, 2 Na 2.28-2.48
F: 0.4527 0.4527 0.2534  1 Hg 2.18, 2 Na 2.32
F: 0.5473 0.5473 0.7466  1 Hg 2.18, 2 Na 2.32
F: 0.6405 0.0550 0.8274  1 Hg 2.25, 2 Na 2.28-2.48
F: 0.8746 0.8746 0.3176  1 Hg 2.20, 3 Na 2.25-2.34
F: 0.9450 0.3595 0.1726  1 Hg 2.25, 2 Na 2.28-2.48

VASP calculation (PBE) on crystalline NaHgF2 at its relaxed geometry.

Calculated values
* raw total energy: -25.204 eV for the cell shown
* volume: 16.1 Å³/atom
* formation energy without anion corrections: -7.24 eV per formula unit
* ΔE to the lowest computed polymorph: 0 meV/atom

Unit cell a=5.7440 b=3.3616 c=6.6751 alpha=90.00 beta=90.38 gamma=90.00
Last column: nearest neighbours and their distance in Å.
Positions (direct):
Na: 0.0000 0.0000 0.0000  6 F 2.24-2.41
Na: 0.5000 0.5000 0.0000  6 F 2.24-2.41
Hg: 0.3414 0.0000 0.4776  4 F 2.34-2.61
Hg: 0.8414 0.5000 0.4776  4 F 2.34-2.61
F: 0.1681 0.5000 0.2163  3 Na 2.40-2.41, 3 Hg 2.57-2.61
F: 0.3339 0.0000 0.8275  3 Na 2.24-2.25, 1 Hg 2.34
F: 0.6681 0.0000 0.2163  3 Na 2.40-2.41, 3 Hg 2.57-2.61
F: 0.8339 0.5000 0.8275  3 Na 2.24-2.25, 1 Hg 2.34

VASP calculation (PBE) on crystalline Na2HgF at its relaxed geometry.

Calculated values
* raw total energy: -40.384 eV for the cell shown
* volume: 24.8 Å³/atom
* formation energy without anion corrections: -5.28 eV per formula unit
* ΔE to the lowest computed polymorph: 84 meV/atom

Unit cell a=6.9351 b=6.9351 c=8.2341 alpha=90.00 beta=90.00 gamma=90.00
Last column: nearest neighbours and their distance in Å.
Positions (direct):
Na: 0.1255 0.7500 0.1250  2 F 2.20
Na: 0.2500 0.1255 0.8750  2 F 2.20
Na: 0.2500 0.3745 0.3750  2 F 2.20
Na: 0.3745 0.7500 0.6250  2 F 2.20
Na: 0.6255 0.2500 0.6250  2 F 2.20
Na: 0.7500 0.6255 0.3750  2 F 2.20
Na: 0.7500 0.8745 0.8750  2 F 2.20
Na: 0.8745 0.2500 0.1250  2 F 2.20
Hg: 0.0000 0.0000 0.5000  8 Na 3.29-3.65
Hg: 0.0000 0.5000 0.7500  8 Na 3.29-3.65
Hg: 0.5000 0.0000 0.2500  8 Na 3.29-3.65
Hg: 0.5000 0.5000 0.0000  8 Na 3.29-3.65
F: 0.0000 0.0000 0.0000  4 Na 2.20
F: 0.0000 0.5000 0.2500  4 Na 2.20
F: 0.5000 0.0000 0.7500  4 Na 2.20
F: 0.5000 0.5000 0.5000  4 Na 2.20

VASP calculation (PBE) on crystalline Na2HgF at its relaxed geometry.

Calculated values
* raw total energy: -31.296 eV for the cell shown
* volume: 20.0 Å³/atom
* formation energy without anion corrections: -5.62 eV per formula unit
* ΔE to the lowest computed polymorph: 0 meV/atom

Unit cell a=3.4140 b=3.4140 c=23.7537 alpha=90.00 beta=90.00 gamma=120.00
Last column: nearest neighbours and their distance in Å.
Positions (direct):
Na: 0.0000 0.0000 0.2238  3 F 2.39
Na: 0.0000 0.0000 0.7762  3 F 2.39
Na: 0.3333 0.6667 0.4429  3 F 2.39
Na: 0.3333 0.6667 0.8904  3 F 2.39
Na: 0.6667 0.3333 0.1096  3 F 2.39
Na: 0.6667 0.3333 0.5571  3 F 2.39
Hg: 0.0000 0.0000 0.0000  6 Na 3.26, 6 Hg 3.41
Hg: 0.3333 0.6667 0.6667  6 Na 3.26, 6 Hg 3.41
Hg: 0.6667 0.3333 0.3333  6 Na 3.26, 6 Hg 3.41
F: 0.0000 0.0000 0.5000  6 Na 2.39
F: 0.3333 0.6667 0.1667  6 Na 2.39
F: 0.6667 0.3333 0.8333  6 Na 2.39

VASP calculation (PBE) on crystalline NaHgF2 at its relaxed geometry.

Calculated values
* raw total energy: -37.735 eV for the cell shown
* volume: 15.0 Å³/atom
* formation energy without anion corrections: -7.21 eV per formula unit
* ΔE to the lowest computed polymorph: 6 meV/atom

Unit cell a=3.2758 b=3.2758 c=19.4233 alpha=90.00 beta=90.00 gamma=120.00
Last column: nearest neighbours and their distance in Å.
Positions (direct):
Na: 0.0000 0.0000 0.0000  6 F 2.31-2.33
Na: 0.3333 0.6667 0.6667  6 F 2.31-2.33
Na: 0.6667 0.3333 0.3333  6 F 2.31-2.33
Hg: 0.0000 0.0000 0.8320  6 F 2.67-2.68
Hg: 0.3333 0.6667 0.4986  6 F 2.67-2.68
Hg: 0.6667 0.3333 0.1653  6 F 2.67-2.68
F: 0.0000 0.0000 0.4017  3 Na 2.31
F: 0.0000 0.0000 0.5964  3 Na 2.33
F: 0.3333 0.6667 0.0684  3 Na 2.31
F: 0.3333 0.6667 0.2631  3 Na 2.33
F: 0.6667 0.3333 0.7350  3 Na 2.31
F: 0.6667 0.3333 0.9298  3 Na 2.33

VASP calculation (PBE) on crystalline Na5Hg2F12 at its relaxed geometry.

Calculated values
* raw total energy: -65.378 eV for the cell shown
* volume: 15.8 Å³/atom
* formation energy without anion corrections: -35.72 eV per formula unit

Unit cell a=6.6936 b=6.6936 c=7.8859 alpha=101.48 beta=101.48 gamma=60.51
Last column: nearest neighbours and their distance in Å.
Positions (direct):
Na: 0.0000 0.0000 0.0000  6 F 2.36-2.44
Na: 0.2980 0.2980 0.7565  5 F 2.27-2.35
Na: 0.3045 0.3045 0.1572  7 F 2.34-2.51
Na: 0.6955 0.6955 0.8428  7 F 2.34-2.51
Na: 0.7020 0.7020 0.2435  5 F 2.27-2.35
Hg: 0.2438 0.7562 0.5000  4 F 2.08-2.33
Hg: 0.7562 0.2438 0.5000  4 F 2.08-2.33
F: 0.0314 0.0314 0.3071  2 Hg 2.33, 1 Na 2.36
F: 0.0761 0.5675 0.3716  1 Hg 2.08, 1 Na 2.29
F: 0.0906 0.5944 0.9668  1 F 2.32, 4 Na 2.35-2.44
F: 0.4056 0.9094 0.0332  1 F 2.32, 4 Na 2.35-2.44
F: 0.4325 0.9239 0.6284  1 Hg 2.08, 1 Na 2.29
F: 0.4794 0.4794 0.6919  2 Na 2.27-2.51, 2 Hg 2.35
F: 0.5206 0.5206 0.3081  2 Na 2.27-2.51, 2 Hg 2.35
F: 0.5675 0.0761 0.3716  1 Hg 2.08, 1 Na 2.29
F: 0.5944 0.0906 0.9668  1 F 2.32, 4 Na 2.35-2.44
F: 0.9094 0.4056 0.0332  1 F 2.32, 4 Na 2.35-2.44
F: 0.9239 0.4325 0.6284  1 Hg 2.08, 1 Na 2.29
F: 0.9686 0.9686 0.6929  2 Hg 2.33, 1 Na 2.36

VASP calculation (PBE) on crystalline NaNdHgF6 at its relaxed geometry.

Calculated values
* raw total energy: -85.903 eV for the cell shown
* volume: 17.0 Å³/atom
* formation energy without anion corrections: -25.33 eV per formula unit

Unit cell a=6.1854 b=6.1854 c=9.2445 alpha=90.00 beta=90.00 gamma=120.00
Last column: nearest neighbours and their distance in Å.
Positions (direct):
Na: 0.0000 0.0000 0.0000  6 F 2.42
Na: 0.0000 0.0000 0.5000  6 F 2.42
Nd: 0.3333 0.6667 0.2500  6 F 2.31
Nd: 0.6667 0.3333 0.7500  6 F 2.31
Hg: 0.3333 0.6667 0.7500  6 F 2.35
Hg: 0.6667 0.3333 0.2500  6 F 2.35
F: 0.0054 0.3433 0.1277  1 Nd 2.31, 1 Hg 2.35, 1 Na 2.42
F: 0.0054 0.6621 0.3723  1 Nd 2.31, 1 Hg 2.35, 1 Na 2.42
F: 0.3379 0.3433 0.3723  1 Nd 2.31, 1 Hg 2.35, 1 Na 2.42
F: 0.3379 0.9946 0.1277  1 Nd 2.31, 1 Hg 2.35, 1 Na 2.42
F: 0.3433 0.0054 0.6277  1 Nd 2.31, 1 Hg 2.35, 1 Na 2.42
F: 0.3433 0.3379 0.8723  1 Nd 2.31, 1 Hg 2.35, 1 Na 2.42
F: 0.6567 0.6621 0.1277  1 Nd 2.31, 1 Hg 2.35, 1 Na 2.42
F: 0.6567 0.9946 0.3723  1 Nd 2.31, 1 Hg 2.35, 1 Na 2.42
F: 0.6621 0.0054 0.8723  1 Nd 2.31, 1 Hg 2.35, 1 Na 2.42
F: 0.6621 0.6567 0.6277  1 Nd 2.31, 1 Hg 2.35, 1 Na 2.42
F: 0.9946 0.3379 0.6277  1 Nd 2.31, 1 Hg 2.35, 1 Na 2.42
F: 0.9946 0.6567 0.8723  1 Nd 2.31, 1 Hg 2.35, 1 Na 2.42